1.
Density functional theory data (PBE) for a relaxed structure of NiSbOs4.

Structure (POSCAR):
```
NiSbOs4
1.0
0.0000 3.6866 3.6866
3.6866 0.0000 3.6866
3.6866 3.6866 0.0000
Ni Sb Os
1 1 4
Direct
0.0000 0.0000 0.0000 Ni
0.2500 0.2500 0.2500 Sb
0.1229 0.6257 0.6257 Os
0.6257 0.1229 0.6257 Os
0.6257 0.6257 0.1229 Os
0.6257 0.6257 0.6257 Os
```

Values from the calculation:
uncorrected energy	-8.17	eV/atom
DOS(E_F)	1.76	states/eV per atom
raw formation energy	0.972	eV per atom
magnetization	2.54	μB/cell

=====

2.
Density functional theory data (PBE) for a relaxed structure of Sm4Er2Tl3H2.

Structure (POSCAR):
```
Sm4Er2Tl3H2
1.0
-2.3905 2.3905 12.4795
2.3905 -2.3905 12.4795
2.3905 2.3905 -12.4795
Sm Er Tl H
4 2 3 2
Direct
0.0867 0.5867 0.5000 Sm
0.4133 0.9133 0.5000 Sm
0.5867 0.0867 0.5000 Sm
0.9133 0.4133 0.5000 Sm
0.1996 0.1996 0.0000 Er
0.8004 0.8004 0.0000 Er
0.3233 0.3233 0.0000 Tl
0.5000 0.5000 0.0000 Tl
0.6767 0.6767 0.0000 Tl
0.1072 0.1072 0.0000 H
0.8928 0.8928 0.0000 H
```

Values from the calculation:
uncorrected energy	-4.06	eV/atom
DOS(E_F)	0.80	states/eV per atom
magnetization	0.00	μB/cell

=====

3.
Density functional theory data (PBE) for a relaxed structure of SmTm6S8.

Structure (POSCAR):
```
SmTm6S8
1.0
0.0000 5.4389 5.4389
5.4389 0.0000 5.4389
5.4389 5.4389 0.0000
Sm Tm S
1 6 8
Direct
0.0000 0.0000 0.0000 Sm
0.0000 0.0000 0.5000 Tm
0.0000 0.5000 0.0000 Tm
0.0000 0.5000 0.5000 Tm
0.5000 0.0000 0.0000 Tm
0.5000 0.0000 0.5000 Tm
0.5000 0.5000 0.0000 Tm
0.2500 0.2500 0.2500 S
0.2580 0.2580 0.7420 S
0.2580 0.7420 0.2580 S
0.2580 0.7420 0.7420 S
0.7420 0.2580 0.2580 S
0.7420 0.2580 0.7420 S
0.7420 0.7420 0.2580 S
0.7500 0.7500 0.7500 S
```

Values from the calculation:
uncorrected energy	-6.31	eV/atom
DOS(E_F)	0.36	states/eV per atom
raw formation energy	-2.002	eV per atom
magnetization	0.00	μB/cell